This record from the Open Quantum Materials Database describes a geometry-optimized GaCoNO structure. The functional is PBE with a Hubbard U.

Computed properties:
Symmetry: No. 123
E_tot: -5.675 eV per atom
Energy relative to the lowest polymorph listed for this composition: 0.373 eV per atom

a = 4.187 Å, b = 4.187 Å, c = 4.349 Å
α = 90.00°, β = 90.00°, γ = 90.00°
Atoms (fractional coordinates):
O1 0.250 0.750 0.000
O2 0.750 0.250 0.000
N1 0.750 0.750 0.500
N2 0.250 0.250 0.500
Co1 0.250 0.250 0.000
Co2 0.750 0.750 0.000
Ga1 0.750 0.250 0.500
Ga2 0.250 0.750 0.500